(1)
A geometry-optimized Hf2VIr structure, computed with GGA-PBE.

a = 4.606 Å, b = 4.606 Å, c = 3.334 Å
α = 90.00°, β = 90.00°, γ = 90.00°
Space group P4/mmm (No. 123)
Asymmetric unit:
Hf1 0.000 0.500 0.000 [2 per cell]
V1 0.000 0.000 0.500 [1 per cell]
Ir1 0.500 0.500 0.500 [1 per cell]

Computed properties:
As for the relative energy among the computed polymorphs: 0.000 eV/atom. For the energy relative to the elements, the calculation gives -0.4937 eV/atom. The magnetic moment comes out at 2.0 μB per cell. The calculated volume is 17.68 Å³ per atom.



(2)
A geometry-optimized CrTc2Pt structure, computed with GGA-PBE.

a = 3.711 Å, b = 3.711 Å, c = 18.422 Å
α = 90.00°, β = 90.00°, γ = 90.00°
Space group I-42d (No. 122)
Asymmetric unit:
Cr1 0.000 0.000 0.000 [4 per cell]
Tc1 0.218 0.250 0.125 [8 per cell]
Pt1 0.000 0.000 0.500 [4 per cell]

Computed properties:
As for the relative energy among the computed polymorphs: 0.542 eV/atom. For the energy relative to the elements, the calculation gives 0.4448 eV/atom. The magnetic moment comes out at 10.4 μB per cell. The calculated volume is 15.85 Å³ per atom.



(3)
A geometry-optimized ScOsIO2 structure, computed with GGA-PBE.

a = 3.997 Å, b = 3.997 Å, c = 6.209 Å
α = 90.00°, β = 90.00°, γ = 90.00°
Space group P4/mmm (No. 123)
Asymmetric unit:
Sc1 0.000 0.000 0.000 [1 per cell]
Os1 0.500 0.500 0.500 [1 per cell]
I1 0.000 0.000 0.500 [1 per cell]
O1 0.000 0.500 0.000 [2 per cell]

Computed properties:
As for the relative energy among the computed polymorphs: 0.063 eV/atom. The magnetic moment comes out at 3.6 μB per cell. The calculated volume is 19.84 Å³ per atom. For the formation energy (no corrections), the calculation gives -0.304 eV/atom.



(4)
A geometry-optimized SrScIn structure, computed with GGA-PBE.

a = 4.976 Å, b = 4.976 Å, c = 7.834 Å
α = 90.00°, β = 90.00°, γ = 90.00°
Space group P4/nmm (No. 129, origin choice 2)
Asymmetric unit:
Sr1 0.250 0.250 0.152 [2 per cell]
Sc1 0.250 0.750 0.500 [2 per cell]
In1 0.250 0.250 0.713 [2 per cell]

Computed properties:
As for the relative energy among the computed polymorphs: 0.000 eV/atom. For the energy relative to the elements, the calculation gives -0.3147 eV/atom. The magnetic moment comes out at 0.0 μB per cell. The calculated volume is 32.33 Å³ per atom.



(5)
A geometry-optimized CuNi3H structure, computed with GGA-PBE.

a = 6.063 Å, b = 2.529 Å, c = 6.074 Å
α = 90.00°, β = 93.08°, γ = 90.00°
Space group P2_1/m (No. 11)
Asymmetric unit:
Cu1 0.083 0.250 0.166 [2 per cell]
Ni1 0.162 0.250 0.583 [2 per cell]
Ni2 0.336 0.750 0.921 [2 per cell]
Ni3 0.415 0.750 0.327 [2 per cell]
H1 0.370 0.750 0.625 [2 per cell]

Computed properties:
As for the relative energy among the computed polymorphs: 0.010 eV/atom. The magnetic moment comes out at 1.5 μB per cell. The calculated volume is 9.30 Å³ per atom.



(6)
A geometry-optimized LiHgO structure, computed with GGA-PBE.

a = 3.612 Å, b = 5.819 Å, c = 5.965 Å
α = 82.49°, β = 72.50°, γ = 89.40°
Space group P-1 (No. 2)
Asymmetric unit:
Li1 0.182 0.459 0.138 [2 per cell]
Hg1 0.453 0.193 0.596 [2 per cell]
O1 0.355 0.474 0.790 [2 per cell]

Computed properties:
The magnetic moment comes out at 0.0 μB per cell. The calculated volume is 19.75 Å³ per atom. For the formation energy (no corrections), the calculation gives -1.010 eV/atom.



(7)
A geometry-optimized Dy5Ir3 structure, computed with GGA-PBE.

a = 8.3252 Å, b = 8.3252 Å, c = 6.2313 Å
α = 90.00°, β = 90.00°, γ = 120.00°
Space group P6_3/mcm (No. 193)
Asymmetric unit:
Dy1 0.0000 0.2608 0.2500 [6 per cell]
Dy2 0.3333 0.6667 0.0000 [4 per cell]
Ir1 0.0000 0.3889 0.7500 [6 per cell]

Computed properties:
As for the relative energy among the computed polymorphs: 0.040 eV/atom. For the energy relative to the elements, the calculation gives -0.7677 eV/atom. The magnetic moment comes out at 0.0 μB per cell. The calculated volume is 23.38 Å³ per atom.



(8)
A geometry-optimized CeSmPd4 structure, computed with GGA-PBE.

a = 7.776 Å, b = 7.776 Å, c = 7.776 Å
α = 90.00°, β = 90.00°, γ = 90.00°
Space group F-43m (No. 216)
Asymmetric unit:
Ce1 0.000 0.000 0.000 [4 per cell]
Sm1 0.250 0.250 0.750 [4 per cell]
Pd1 0.125 0.125 0.375 [16 per cell]

Computed properties:
As for the relative energy among the computed polymorphs: 0.068 eV/atom. For the energy relative to the elements, the calculation gives -0.7255 eV/atom. The magnetic moment comes out at 3.9 μB per cell. The calculated volume is 19.59 Å³ per atom.



(9)
A geometry-optimized KBeNiI2 structure, computed with GGA-PBE.

a = 5.271 Å, b = 5.271 Å, c = 6.028 Å
α = 90.00°, β = 90.00°, γ = 90.00°
Space group P4/mmm (No. 123)
Asymmetric unit:
K1 0.000 0.000 0.000 [1 per cell]
Be1 0.500 0.500 0.000 [1 per cell]
Ni1 0.000 0.000 0.500 [1 per cell]
I1 0.000 0.500 0.500 [2 per cell]

Computed properties:
As for the relative energy among the computed polymorphs: 0.000 eV/atom. The magnetic moment comes out at 0.3 μB per cell. The calculated volume is 33.50 Å³ per atom. For the formation energy (no corrections), the calculation gives 0.414 eV/atom.



(10)
A geometry-optimized SrPr2SiN4 structure, computed with GGA-PBE.

a = 3.499 Å, b = 12.407 Å, c = 12.153 Å
α = 90.00°, β = 90.00°, γ = 90.00°
Space group Cmcm (No. 63)
Asymmetric unit:
Sr1 0.000 0.096 0.250 [4 per cell]
Pr1 0.000 0.368 0.041 [8 per cell]
Si1 0.000 0.188 0.750 [4 per cell]
N1 0.000 0.000 0.000 [4 per cell]
N2 0.000 0.264 0.631 [8 per cell]
N3 0.000 0.392 0.250 [4 per cell]

Computed properties:
The magnetic moment comes out at 0.0 μB per cell. The calculated volume is 16.48 Å³ per atom. For the formation energy (no corrections), the calculation gives -1.069 eV/atom.



(11)
A geometry-optimized Ac2SmBe3Pd12 structure, computed with GGA-PBE.

a = 7.7241 Å, b = 7.7241 Å, c = 19.7688 Å
α = 90.00°, β = 90.00°, γ = 120.00°
Space group R-3m (No. 166, hexagonal axes)
Asymmetric unit:
Ac1 0.0000 0.0000 0.0998 [6 per cell]
Sm1 0.0000 0.0000 0.5000 [3 per cell]
Be1 0.0000 0.5000 0.0000 [9 per cell]
Pd1 0.0591 0.5295 0.3020 [18 per cell]
Pd2 0.0844 0.5422 0.8924 [18 per cell]

Computed properties:
For the energy relative to the elements, the calculation gives -0.4283 eV/atom. The magnetic moment comes out at 0.0 μB per cell. The calculated volume is 18.92 Å³ per atom.



(12)
A geometry-optimized LiAl4Ag structure, computed with GGA-PBE.

a = 7.586 Å, b = 7.586 Å, c = 7.586 Å
α = 90.00°, β = 90.00°, γ = 90.00°
Space group F-43m (No. 216)
Asymmetric unit:
Li1 0.000 0.000 0.000 [4 per cell]
Al1 0.125 0.125 0.375 [16 per cell]
Ag1 0.250 0.250 0.750 [4 per cell]

Computed properties:
As for the relative energy among the computed polymorphs: 0.118 eV/atom. For the energy relative to the elements, the calculation gives 0.0628 eV/atom. The magnetic moment comes out at 0.0 μB per cell. The calculated volume is 18.19 Å³ per atom.